# 1
Entry from Alexandria via LeMat-Bulk: a relaxed structure of TlOsW (PBE-GGA).

As for the energy of formation from the pure elements: 0.67 eV/atom. The calculation puts the raw total energy at -8.1805 eV/atom. The value obtained for the energy above the most stable polymorph in this dataset is 78 meV per atom.

The structure belongs to space group P3m1 (No. 156); the cell edges are 2.9371, 2.9371 and 7.1428 Å and the angles 90.00°, 90.00° and 120.00°. The distinct sites, in fractional coordinates, are Tl at (0.0000, 0.0000, 0.0000), Os at (0.6667, 0.3333, 0.6462) and W at (0.3333, 0.6667, 0.3635).

# 2
Entry from Alexandria via LeMat-Bulk: a relaxed structure of TlOs3W (PBE-GGA).

As for the energy of formation from the pure elements: 3.57 eV/atom. The calculation puts the raw total energy at -6.2343 eV/atom. The value obtained for the energy above the most stable polymorph in this dataset is 1406 meV per atom.

The structure belongs to space group Pm-3m (No. 221); the cell edges are 4.798, 4.798 and 4.798 Å and the angles 90.00°, 90.00° and 90.00°. The distinct sites, in fractional coordinates, are Tl at (0.000, 0.000, 0.000), Os at (0.000, 0.000, 0.500) and W at (0.500, 0.500, 0.500).

# 3
Entry from Alexandria via LeMat-Bulk: a relaxed structure of Tl2OsW (PBE-GGA).

As for the energy of formation from the pure elements: 1.35 eV/atom. The calculation puts the raw total energy at -5.8822 eV/atom. The value obtained for the energy above the most stable polymorph in this dataset is 854 meV per atom.

The structure belongs to space group Cmmm (No. 65); the cell edges are 5.673, 8.798 and 3.064 Å and the angles 90.00°, 90.00° and 90.00°. The distinct sites, in fractional coordinates, are Tl at (0.250, 0.250, 0.000), Os at (0.000, 0.000, 0.500) and W at (0.000, 0.500, 0.500).

# 4
Entry from Alexandria via LeMat-Bulk: a relaxed structure of Tl2OsW (PBE-GGA).

As for the energy of formation from the pure elements: 1.36 eV/atom. The calculation puts the raw total energy at -5.8679 eV/atom. The value obtained for the energy above the most stable polymorph in this dataset is 869 meV per atom.

The structure belongs to space group Fm-3m (No. 225); the cell edges are 6.703, 6.703 and 6.703 Å and the angles 90.00°, 90.00° and 90.00°. The distinct sites, in fractional coordinates, are Tl at (0.250, 0.250, 0.250), Os at (0.000, 0.000, 0.000) and W at (0.000, 0.000, 0.500).

# 5
Entry from Alexandria via LeMat-Bulk: a relaxed structure of TlOsW (PBE-GGA).

As for the energy of formation from the pure elements: 0.81 eV/atom. The calculation puts the raw total energy at -8.0385 eV/atom. The value obtained for the energy above the most stable polymorph in this dataset is 219 meV per atom.

The structure belongs to space group Imm2 (No. 44); the cell edges are 2.961, 3.846 and 9.306 Å and the angles 90.00°, 90.00° and 90.00°. The distinct sites, in fractional coordinates, are Tl at (0.000, 0.000, 0.000), Os at (0.000, 0.000, 0.315) and W at (0.000, 0.000, 0.688).

# 6
Entry from Alexandria via LeMat-Bulk: a relaxed structure of Tl2OsW (PBE-GGA).

As for the energy of formation from the pure elements: 1.19 eV/atom. The calculation puts the raw total energy at -6.0388 eV/atom. The value obtained for the energy above the most stable polymorph in this dataset is 698 meV per atom.

The structure belongs to space group Cmmm (No. 65); the cell edges are 3.049, 5.255 and 9.591 Å and the angles 90.00°, 90.00° and 90.00°. The distinct sites, in fractional coordinates, are Tl at (0.000, 0.000, 0.243), Os at (0.000, 0.500, 0.000) and W at (0.000, 0.500, 0.500).

# 7
Entry from Alexandria via LeMat-Bulk: a relaxed structure of TlOs2W (PBE-GGA).

As for the energy of formation from the pure elements: 0.91 eV/atom. The calculation puts the raw total energy at -8.5363 eV/atom. The value obtained for the energy above the most stable polymorph in this dataset is 380 meV per atom.

The structure belongs to space group Immm (No. 71); the cell edges are 2.890, 4.880 and 9.678 Å and the angles 90.00°, 90.00° and 90.00°. The distinct sites, in fractional coordinates, are Tl at (0.000, 0.000, 0.000), Os at (0.000, 0.500, 0.227) and W at (0.000, 0.000, 0.500).

# 8
Entry from Alexandria via LeMat-Bulk: a relaxed structure of TlOs2W (PBE-GGA).

As for the energy of formation from the pure elements: 0.93 eV/atom. The calculation puts the raw total energy at -8.5122 eV/atom. The value obtained for the energy above the most stable polymorph in this dataset is 404 meV per atom.

The structure belongs to space group Cmm2 (No. 35); the cell edges are 2.909, 4.893 and 9.599 Å and the angles 90.00°, 90.00° and 90.00°. The distinct sites, in fractional coordinates, are Tl at (0.000, 0.000, 0.000), Os at (0.000, 0.000, 0.494), Os at (0.000, 0.500, 0.263) and W at (0.000, 0.500, 0.725).

# 9
Entry from Alexandria via LeMat-Bulk: a relaxed structure of TlOs2W (PBE-GGA).

As for the energy of formation from the pure elements: 0.75 eV/atom. The calculation puts the raw total energy at -8.6937 eV/atom. The value obtained for the energy above the most stable polymorph in this dataset is 222 meV per atom.

The structure belongs to space group Cm (No. 8); the cell edges are 9.517, 2.901 and 4.946 Å and the angles 90.00°, 100.77° and 90.00°. The distinct sites, in fractional coordinates, are Tl at (0.000, 0.000, 0.000), Os at (0.016, 0.500, 0.497), Os at (0.240, 0.000, 0.757) and W at (0.270, 0.500, 0.317).

# 10
Entry from Alexandria via LeMat-Bulk: a relaxed structure of TlOs2W (PBE-GGA).

As for the energy of formation from the pure elements: 0.68 eV/atom. The calculation puts the raw total energy at -8.7695 eV/atom. The value obtained for the energy above the most stable polymorph in this dataset is 146 meV per atom.

The structure belongs to space group R3m (No. 160, hexagonal axes); the cell edges are 2.8699, 2.8699 and 28.1742 Å and the angles 90.00°, 90.00° and 120.00°. The distinct sites, in fractional coordinates, are Tl at (0.0000, 0.0000, 0.0000), Os at (0.0000, 0.0000, 0.4966), Os at (0.0000, 0.0000, 0.7558) and W at (0.0000, 0.0000, 0.2413).

# 11
Entry from Alexandria via LeMat-Bulk: a relaxed structure of TlOs2W (PBE-GGA).

As for the energy of formation from the pure elements: 0.85 eV/atom. The calculation puts the raw total energy at -8.5900 eV/atom. The value obtained for the energy above the most stable polymorph in this dataset is 326 meV per atom.

The structure belongs to space group Fm-3m (No. 225); the cell edges are 6.424, 6.424 and 6.424 Å and the angles 90.00°, 90.00° and 90.00°. The distinct sites, in fractional coordinates, are Tl at (0.000, 0.000, 0.000), Os at (0.250, 0.250, 0.250) and W at (0.000, 0.000, 0.500).

# 12
Entry from Alexandria via LeMat-Bulk: a relaxed structure of Tl2OsW (PBE-GGA).

As for the energy of formation from the pure elements: 1.26 eV/atom. The calculation puts the raw total energy at -5.9658 eV/atom. The value obtained for the energy above the most stable polymorph in this dataset is 771 meV per atom.

The structure belongs to space group F-43m (No. 216); the cell edges are 6.772, 6.772 and 6.772 Å and the angles 90.00°, 90.00° and 90.00°. The distinct sites, in fractional coordinates, are Tl at (0.000, 0.000, 0.000), Tl at (0.250, 0.250, 0.250), Os at (0.000, 0.000, 0.500) and W at (0.250, 0.250, 0.750).

# 13
Entry from Alexandria via LeMat-Bulk: a relaxed structure of TlOsW (PBE-GGA).

As for the energy of formation from the pure elements: 0.84 eV/atom. The calculation puts the raw total energy at -8.0120 eV/atom. The value obtained for the energy above the most stable polymorph in this dataset is 246 meV per atom.

The structure belongs to space group Fmm2 (No. 42); the cell edges are 3.030, 4.953 and 14.561 Å and the angles 90.00°, 90.00° and 90.00°. The distinct sites, in fractional coordinates, are Tl at (0.000, 0.000, 0.000), Os at (0.000, 0.000, 0.323) and W at (0.000, 0.000, 0.682).

# 14
Entry from Alexandria via LeMat-Bulk: a relaxed structure of TlOs2W (PBE-GGA).

As for the energy of formation from the pure elements: 0.87 eV/atom. The calculation puts the raw total energy at -8.5764 eV/atom. The value obtained for the energy above the most stable polymorph in this dataset is 340 meV per atom.

The structure belongs to space group I-4m2 (No. 119); the cell edges are 3.903, 3.903 and 8.628 Å and the angles 90.00°, 90.00° and 90.00°. The distinct sites, in fractional coordinates, are Tl at (0.000, 0.000, 0.000), Os at (0.000, 0.000, 0.500), Os at (0.000, 0.500, 0.250) and W at (0.000, 0.500, 0.750).

# 15
Entry from Alexandria via LeMat-Bulk: a relaxed structure of Tl2OsW (PBE-GGA).

As for the energy of formation from the pure elements: 1.24 eV/atom. The calculation puts the raw total energy at -5.9915 eV/atom. The value obtained for the energy above the most stable polymorph in this dataset is 745 meV per atom.

The structure belongs to space group I-4m2 (No. 119); the cell edges are 4.214, 4.214 and 8.491 Å and the angles 90.00°, 90.00° and 90.00°. The distinct sites, in fractional coordinates, are Tl at (0.000, 0.000, 0.000), Tl at (0.000, 0.500, 0.250), Os at (0.000, 0.000, 0.500) and W at (0.000, 0.500, 0.750).

# 16
Entry from Alexandria via LeMat-Bulk: a relaxed structure of TlOs2W (PBE-GGA).

As for the energy of formation from the pure elements: 0.90 eV/atom. The calculation puts the raw total energy at -8.5424 eV/atom. The value obtained for the energy above the most stable polymorph in this dataset is 374 meV per atom.

The structure belongs to space group P4/mmm (No. 123); the cell edges are 4.602, 4.602 and 3.137 Å and the angles 90.00°, 90.00° and 90.00°. The distinct sites, in fractional coordinates, are Tl at (0.000, 0.000, 0.000), Os at (0.000, 0.500, 0.500) and W at (0.500, 0.500, 0.000).